# KCrMo2F

A geometry-optimized KCrMo2F structure (GGA+U, Alexandria). Values from VASP.

Properties
Its calculated density is 3.7 g/cm³. For the uncorrected energy, the calculation gives -20.8 eV per formula unit.

Geometry as Quantum ESPRESSO input:
```
&SYSTEM
  ibrav = 0, nat = 5, ntyp = 4
/
ATOMIC_SPECIES
K 39.10 K.upf
Cr 52.00 Cr.upf
Mo 95.94 Mo.upf
F 19.00 F.upf
CELL_PARAMETERS angstrom
5.011 0.000 0.000
0.000 5.011 0.000
0.000 0.000 5.426
ATOMIC_POSITIONS crystal
K 0.000 0.000 0.000
Cr 0.500 0.500 0.000
Mo 0.000 0.500 0.500
Mo 0.500 0.000 0.500
F 0.500 0.500 0.500
```